VASP calculation (GGA-PBE) on a relaxed BeAsPt2 crystal.

a = 8.1980 Å, b = 2.8612 Å, c = 5.1251 Å
α = 90.00°, β = 103.99°, γ = 90.00°
Last column: nearest neighbours and their distance in Å.
Fractional coordinates of all 8 atoms:
Be 0.0000 0.0000 0.0000  4 Pt 2.40
Be 0.5000 0.5000 0.0000  4 Pt 2.40
As 0.0000 0.5000 0.5000  6 Pt 2.56-2.75, 2 As 2.86
As 0.5000 0.0000 0.5000  6 Pt 2.56-2.75, 2 As 2.86
Pt 0.2241 0.5000 0.2277  2 Be 2.40, 1 As 2.56
Pt 0.2759 0.0000 0.7723  2 Be 2.40, 1 As 2.56
Pt 0.7241 0.0000 0.2277  2 Be 2.40, 1 As 2.56
Pt 0.7759 0.5000 0.7723  2 Be 2.40, 1 As 2.56

Summary:
- energy relative to the elements (eV per atom) = -0.22
- DOS(E_F) (states/eV per cell) = 4.93
- symmetry = No. 12
- volume (Å³ per cell) = 116.65


VASP calculation (GGA-PBE) on a relaxed LiTaS2N crystal.

a = 4.8840 Å, b = 4.8840 Å, c = 3.9990 Å
α = 90.00°, β = 90.00°, γ = 90.00°
Last column: nearest neighbours and their distance in Å.
Fractional coordinates of all 5 atoms:
Li 0.0000 0.0000 0.0000  8 S 3.16, 4 N 3.45
Ta 0.5000 0.5000 0.5000  2 N 2.00
S 0.0000 0.5000 0.5000  2 Ta 2.44
S 0.5000 0.0000 0.5000  2 Ta 2.44
N 0.5000 0.5000 0.0000  2 Ta 2.00

Summary:
- ΔE_f (raw) (meV per atom) = -482
- DOS(E_F) (states/eV per cell) = 2.44
- symmetry = No. 123
- volume (Å³ per cell) = 95.39
- relative energy among the computed polymorphs (eV/atom) = 0.000


VASP calculation (GGA-PBE) on a relaxed Mg3SbN crystal.

a = 8.0216 Å, b = 8.0216 Å, c = 5.6991 Å
α = 90.00°, β = 90.00°, γ = 139.78°
Last column: nearest neighbours and their distance in Å.
Fractional coordinates of all 10 atoms:
Mg 0.0000 0.0000 0.0000  6 Mg 2.85-3.17, 2 Sb 2.87
Mg 0.0000 0.0000 0.5000  6 Mg 2.85-3.17, 2 Sb 2.87
Mg 0.0926 0.4188 0.7500  1 N 2.01
Mg 0.4188 0.0926 0.2500  1 N 2.01
Mg 0.5812 0.9074 0.7500  1 N 2.01
Mg 0.9074 0.5812 0.2500  1 N 2.01
Sb 0.1654 0.8346 0.7500  8 Mg 2.87-3.18
Sb 0.8346 0.1654 0.2500  8 Mg 2.87-3.18
N 0.4360 0.5640 0.7500  2 Mg 2.01
N 0.5640 0.4360 0.2500  2 Mg 2.01

Summary:
- ΔE_f (raw) (meV per atom) = 456
- DOS(E_F) (states/eV per cell) = 4.36
- symmetry = No. 63
- volume (Å³ per cell) = 236.79


VASP calculation (GGA-PBE) on a relaxed Li4HoPb5 crystal.

a = 3.5799 Å, b = 3.5799 Å, c = 18.5154 Å
α = 90.00°, β = 90.00°, γ = 90.00°
Last column: nearest neighbours and their distance in Å.
Fractional coordinates of all 10 atoms:
Li 0.0000 0.0000 0.0949  8 Pb 3.08-3.10
Li 0.0000 0.0000 0.2872  8 Pb 3.08-3.09
Li 0.0000 0.0000 0.7128  8 Pb 3.08-3.09
Li 0.0000 0.0000 0.9051  8 Pb 3.08-3.10
Ho 0.0000 0.0000 0.5000  8 Pb 3.35, 4 Ho 3.58
Pb 0.5000 0.5000 0.0000  8 Li 3.08
Pb 0.5000 0.5000 0.1916  8 Li 3.09-3.10
Pb 0.5000 0.5000 0.3817  4 Li 3.08, 4 Ho 3.35
Pb 0.5000 0.5000 0.6183  4 Li 3.08, 4 Ho 3.35
Pb 0.5000 0.5000 0.8084  8 Li 3.09-3.10

Summary:
- energy relative to the elements (eV per atom) = -0.29
- DOS(E_F) (states/eV per cell) = 5.35
- symmetry = No. 123
- volume (Å³ per cell) = 237.28


VASP calculation (GGA-PBE) on a relaxed K2ZrAsSe5 crystal.

a = 9.9730 Å, b = 9.9730 Å, c = 13.7530 Å
α = 90.00°, β = 90.00°, γ = 155.43°
Last column: nearest neighbours and their distance in Å.
Fractional coordinates of all 18 atoms:
K 0.1190 0.8810 0.5000  6 Se 3.35-3.47
K 0.1325 0.8675 0.8551  7 Se 3.35-3.74
K 0.8675 0.1325 0.3551  7 Se 3.35-3.74
K 0.8810 0.1190 0.0000  6 Se 3.35-3.47
Zr 0.2061 0.7939 0.2090  3 Se 2.48-2.70
Zr 0.7939 0.2061 0.7090  3 Se 2.48-2.70
As 0.4344 0.5656 0.5937  4 Se 2.31-2.50
As 0.5656 0.4344 0.0937  4 Se 2.31-2.50
Se 0.0534 0.9466 0.1881  2 As 2.50
Se 0.3088 0.6912 0.8281  2 Zr 2.70
Se 0.3116 0.6884 0.5645  1 As 2.43
Se 0.3311 0.6689 0.1743  1 Zr 2.48
Se 0.4900 0.5100 0.4454  1 As 2.31
Se 0.5100 0.4900 0.9454  1 As 2.31
Se 0.6689 0.3311 0.6743  1 Zr 2.48
Se 0.6884 0.3116 0.0645  1 As 2.43
Se 0.6912 0.3088 0.3281  2 Zr 2.70
Se 0.9466 0.0534 0.6881  2 As 2.50

Summary:
- ΔE_f (raw) (meV per atom) = -907
- DOS(E_F) (states/eV per cell) = 3.46
- symmetry = No. 36
- volume (Å³ per cell) = 568.71


VASP calculation (GGA-PBE) on a relaxed Tc2AgSe2 crystal.

a = 4.1403 Å, b = 4.1403 Å, c = 10.7247 Å
α = 90.00°, β = 90.00°, γ = 90.00°
Last column: nearest neighbours and their distance in Å.
Fractional coordinates of all 10 atoms:
Tc 0.0000 0.0000 0.1211  4 Se 2.49, 1 Tc 2.60
Tc 0.0000 0.0000 0.8789  4 Se 2.49, 1 Tc 2.60
Tc 0.5000 0.5000 0.3789  4 Se 2.49, 1 Tc 2.60
Tc 0.5000 0.5000 0.6211  4 Se 2.49, 1 Tc 2.60
Ag 0.0000 0.0000 0.5000  8 Tc 3.20, 8 Se 3.39
Ag 0.5000 0.5000 0.0000  8 Tc 3.20, 8 Se 3.39
Se 0.0000 0.5000 0.2500  4 Tc 2.49
Se 0.0000 0.5000 0.7500  4 Tc 2.49
Se 0.5000 0.0000 0.2500  4 Tc 2.49
Se 0.5000 0.0000 0.7500  4 Tc 2.49

Summary:
- ΔE_f (raw) (meV per atom) = 414
- DOS(E_F) (states/eV per cell) = 8.71
- symmetry = No. 139
- volume (Å³ per cell) = 183.84